DFT (PBE) results for a relaxed structure of ZnFe2Br.

The value obtained for the excess energy over the best structure of this formula in the dataset is 0.365 eV per atom.

The structure belongs to space group Immm (No. 71); the cell edges are 3.025, 4.935 and 8.556 Å and the angles 90.00°, 90.00° and 90.00°. The asymmetric unit holds Zn at (0.000, 0.000, 0.000), Fe at (0.000, 0.500, 0.249) and Br at (0.000, 0.000, 0.500).

DFT (PBE) results for a relaxed structure of La2CoAg.

The formation energy is 0.1011 eV/atom.

The structure belongs to space group I-4m2 (No. 119); the cell edges are 4.421, 4.421 and 9.454 Å and the angles 90.00°, 90.00° and 90.00°. The asymmetric unit holds La at (0.000, 0.000, 0.000), La at (0.000, 0.500, 0.250), Co at (0.000, 0.000, 0.500) and Ag at (0.000, 0.500, 0.750).

DFT (PBE) results for a relaxed structure of CeDy2Lu.

The value obtained for the excess energy over the best structure of this formula in the dataset is 0.121 eV per atom. The formation energy is 0.1832 eV/atom.

The structure belongs to space group Fm-3m (No. 225); the cell edges are 7.951, 7.951 and 7.951 Å and the angles 90.00°, 90.00° and 90.00°. The asymmetric unit holds Ce at (0.000, 0.000, 0.000), Dy at (0.250, 0.250, 0.250) and Lu at (0.000, 0.000, 0.500).